A plane-wave DFT calculation with PBE was carried out for a relaxed AcZn2Cd8Cu crystal.

The structure in CIF format:
```
data_AcZn2Cd8Cu
_space_group_name_H-M_alt 'C 1 2/m 1'
_space_group_IT_number 12
_space_group_name_Hall '-C 2y'
_cell_length_a 8.5297
_cell_length_b 5.7109
_cell_length_c 11.6893
_cell_angle_alpha 90.00
_cell_angle_beta 102.37
_cell_angle_gamma 90.00
loop_
_atom_site_label
_atom_site_fract_x
_atom_site_fract_y
_atom_site_fract_z
Ac1 0.0000 0.0000 0.0000
Zn1 0.1291 0.5000 0.8967
Cd1 0.0087 0.2469 0.3030
Cd2 0.1868 0.5000 0.5325
Cd3 0.2131 0.5000 0.1538
Cu1 0.0000 0.0000 0.5000
```

volume = 23.2 A^3/atom
density = 7886 kg/m³
E_tot = -37.08 eV/cell
DFT formation energy = -0.5 eV/f.u.
total magnetization = 0.00 μB per cell

A plane-wave DFT calculation with PBE was carried out for a relaxed AcDy2Cd crystal.

The structure in CIF format:
```
data_AcDy2Cd
_space_group_name_H-M_alt 'R -3 m'
_space_group_IT_number 166
_space_group_name_Hall '-R 3 2"'
_cell_length_a 3.5897
_cell_length_b 3.5897
_cell_length_c 36.2015
_cell_angle_alpha 90.00
_cell_angle_beta 90.00
_cell_angle_gamma 120.00
loop_
_atom_site_label
_atom_site_fract_x
_atom_site_fract_y
_atom_site_fract_z
Ac1 0.0000 0.0000 0.0000
Dy1 0.0000 0.0000 0.0988
Cd1 0.0000 0.0000 0.5000
```

volume = 33.7 A^3/atom
density = 8193 kg/m³
E_tot = -40.96 eV/cell
offset from the most stable computed form = 262 meV/atom
DFT formation energy = 0.6 eV/f.u.
total magnetization = 0.01 μB per cell

A plane-wave DFT calculation with PBE was carried out for a relaxed AcDy3Cd2 crystal.

The structure in CIF format:
```
data_AcDy3Cd2
_space_group_name_H-M_alt 'C 1 2/m 1'
_space_group_IT_number 12
_space_group_name_Hall '-C 2y'
_cell_length_a 16.5422
_cell_length_b 5.5100
_cell_length_c 8.9790
_cell_angle_alpha 90.00
_cell_angle_beta 115.35
_cell_angle_gamma 90.00
loop_
_atom_site_label
_atom_site_fract_x
_atom_site_fract_y
_atom_site_fract_z
Ac1 0.1322 0.0000 0.1858
Dy1 0.0659 0.0000 0.7211
Dy2 0.1154 0.5000 0.5306
Dy3 0.1965 0.5000 0.9926
Cd1 0.0040 0.5000 0.1620
Cd2 0.2288 0.0000 0.6091
```

volume = 30.8 A^3/atom
density = 8436 kg/m³
E_tot = -82.15 eV/cell
offset from the most stable computed form = 57 meV/atom
DFT formation energy = -0.8 eV/f.u.
total magnetization = 0.00 μB per cell

A plane-wave DFT calculation with PBE was carried out for a relaxed AcDy3Cd4 crystal.

The structure in CIF format:
```
data_AcDy3Cd4
_space_group_name_H-M_alt 'P m m a'
_space_group_IT_number 51
_space_group_name_Hall '-P 2a 2a'
_cell_length_a 10.7652
_cell_length_b 7.7667
_cell_length_c 5.3819
_cell_angle_alpha 90.00
_cell_angle_beta 90.00
_cell_angle_gamma 90.00
loop_
_atom_site_label
_atom_site_fract_x
_atom_site_fract_y
_atom_site_fract_z
Ac1 0.0000 0.0000 0.0000
Dy1 0.0000 0.5000 0.0000
Dy2 0.2500 0.0000 0.4993
Dy3 0.2500 0.5000 0.4990
Cd1 0.0000 0.2710 0.5000
Cd2 0.2500 0.2710 0.9987
```

volume = 28.1 A^3/atom
density = 8592 kg/m³
E_tot = -47.64 eV/cell
DFT formation energy = -2.2 eV/f.u.
total magnetization = 0.00 μB per cell

A plane-wave DFT calculation with PBE was carried out for a relaxed AcDyCd4 crystal.

The structure in CIF format:
```
data_AcDyCd4
_space_group_name_H-M_alt 'P 1 2/m 1'
_space_group_IT_number 10
_space_group_name_Hall '-P 2y'
_cell_length_a 3.5998
_cell_length_b 5.0926
_cell_length_c 8.8655
_cell_angle_alpha 90.00
_cell_angle_beta 90.20
_cell_angle_gamma 90.00
loop_
_atom_site_label
_atom_site_fract_x
_atom_site_fract_y
_atom_site_fract_z
Ac1 0.0000 0.0000 0.0000
Dy1 0.0000 0.5000 0.5000
Cd1 0.4972 0.0000 0.6579
Cd2 0.4992 0.5000 0.8202
```

volume = 27.1 A^3/atom
density = 8574 kg/m³
E_tot = -14.18 eV/cell
offset from the most stable computed form = 16 meV/atom
DFT formation energy = -1.8 eV/f.u.
total magnetization = 0.00 μB per cell

A plane-wave DFT calculation with PBE was carried out for a relaxed Ac2DyCd2 crystal.

The structure in CIF format:
```
data_Ac2DyCd2
_space_group_name_H-M_alt 'C m m m'
_space_group_IT_number 65
_space_group_name_Hall '-C 2 2'
_cell_length_a 3.9212
_cell_length_b 22.2584
_cell_length_c 3.8526
_cell_angle_alpha 90.00
_cell_angle_beta 90.00
_cell_angle_gamma 90.00
loop_
_atom_site_label
_atom_site_fract_x
_atom_site_fract_y
_atom_site_fract_z
Ac1 0.0000 0.1738 0.0000
Dy1 0.0000 0.0000 0.0000
Cd1 0.0000 0.4246 0.5000
```

volume = 33.6 A^3/atom
density = 8309 kg/m³
E_tot = -30.90 eV/cell
offset from the most stable computed form = 0 meV/atom
DFT formation energy = -0.8 eV/f.u.
total magnetization = 1.34 μB per cell